Record 1
# La2GePd3

A relaxed La2GePd3 crystal (PBE-GGA, the Alexandria database).

Cell lengths 7.816, 8.933, 15.747 Å; angles 90.00, 90.00, 90.00 degrees
Space group Fmmm (No. 69)
Unique sites:
La1 0.248 0.000 0.000 x8
La2 0.250 0.250 0.250 x8
Ge1 0.000 0.000 0.333 x8
Pd1 0.000 0.000 0.175 x8
Pd2 0.000 0.239 0.414 x16

Output
D(E_F): 0.802 states/eV/atom
Energy: -5.844 eV/atom
ρ: 8.1 g/cm³


Record 2
# Ba2SrAl3Au12

A relaxed Ba2SrAl3Au12 crystal (PBE-GGA, the Alexandria database).

Cell lengths 9.0040, 9.0040, 21.1394 Å; angles 90.00, 90.00, 120.00 degrees
Space group R-3m (No. 166, hexagonal axes)
Unique sites:
Ba1 0.0000 0.0000 0.1030 x6
Sr1 0.0000 0.0000 0.5000 x3
Al1 0.0000 0.5000 0.0000 x9
Au1 0.0261 0.5130 0.3386 x18
Au2 0.0422 0.5211 0.8806 x18

Output
D(E_F): 0.259 states/eV/atom
Energy: -3.385 eV/atom
ρ: 9.4 g/cm³


Record 3
# NaHf2S4

A relaxed NaHf2S4 crystal (PBE-GGA, the Alexandria database).

Cell lengths 3.672, 12.143, 12.822 Å; angles 90.00, 90.00, 90.00 degrees
Space group Cmcm (No. 63)
Unique sites:
Na1 0.000 0.112 0.250 x4
Hf1 0.000 0.370 0.067 x8
S1 0.000 0.000 0.000 x4
S2 0.000 0.272 0.613 x8
S3 0.000 0.437 0.250 x4

Output
D(E_F): 0.176 states/eV/atom
Formation energy (no corrections): -10.4 eV/f.u.
Energy: -6.880 eV/atom
Energy above the lowest structure with this stoichiometry: 0.066 eV per atom
ρ: 5.9 g/cm³


Record 4
# NpSiN3

A relaxed NpSiN3 crystal (PBE-GGA, the Alexandria database).

Cell lengths 3.194, 12.612, 5.842 Å; angles 90.00, 90.00, 90.00 degrees
Space group Cmcm (No. 63)
Unique sites:
Np1 0.000 0.175 0.250 x4
Si1 0.000 0.430 0.250 x4
N1 0.000 0.003 0.750 x4
N2 0.000 0.342 0.017 x8

Output
D(E_F): 0.951 states/eV/atom
Formation energy (no corrections): -4.0 eV/f.u.
Energy: -9.472 eV/atom
ρ: 8.7 g/cm³


Record 5
# Tb2Zn5Au5

A relaxed Tb2Zn5Au5 crystal (PBE-GGA, the Alexandria database).

Cell lengths 4.543, 5.282, 9.441 Å; angles 90.00, 90.00, 90.00 degrees
Space group Pmmm (No. 47)
Unique sites:
Tb1 0.000 0.000 0.000 x1
Tb2 0.000 0.500 0.500 x1
Zn1 0.500 0.000 0.500 x1
Zn2 0.500 0.249 0.253 x4
Au1 0.000 0.000 0.334 x2
Au2 0.000 0.500 0.180 x2
Au3 0.500 0.500 0.000 x1

Output
D(E_F): 0.520 states/eV/atom
Energy: -3.153 eV/atom
ρ: 11.9 g/cm³


Record 6
# Ca4BrCl

A relaxed Ca4BrCl crystal (PBE-GGA, the Alexandria database).

Cell lengths 9.945, 9.945, 9.945 Å; angles 90.00, 90.00, 90.00 degrees
Space group F-43m (No. 216)
Unique sites:
Ca1 0.125 0.125 0.125 x16
Br1 0.000 0.000 0.500 x4
Cl1 0.250 0.250 0.750 x4

Output
D(E_F): 1.418 states/eV/atom
Formation energy (no corrections): -1.3 eV/f.u.
Energy: -2.136 eV/atom
ρ: 1.9 g/cm³


Record 7
# NdThBi

A relaxed NdThBi crystal (PBE-GGA, the Alexandria database).

Cell lengths 4.183, 4.183, 11.067 Å; angles 90.00, 90.00, 90.00 degrees
Space group I4mm (No. 107)
Unique sites:
Nd1 0.000 0.000 0.000 x2
Th1 0.000 0.000 0.694 x2
Bi1 0.000 0.000 0.349 x2

Output
D(E_F): 0.979 states/eV/atom
Energy: -5.710 eV/atom
ρ: 10.0 g/cm³


Record 8
# PuVCoRu

A relaxed PuVCoRu crystal (PBE-GGA, the Alexandria database).

Cell lengths 6.299, 6.299, 6.299 Å; angles 90.00, 90.00, 90.00 degrees
Space group F-43m (No. 216)
Unique sites:
Pu1 0.000 0.000 0.000 x4
V1 0.000 0.000 0.500 x4
Co1 0.250 0.250 0.750 x4
Ru1 0.250 0.250 0.250 x4

Output
D(E_F): 1.891 states/eV/atom
Energy: -9.875 eV/atom
ρ: 12.1 g/cm³


Record 9
# Mo3RuC

A relaxed Mo3RuC crystal (PBE-GGA, the Alexandria database).

Cell lengths 4.120, 4.120, 4.120 Å; angles 90.00, 90.00, 90.00 degrees
Space group Pm-3m (No. 221)
Unique sites:
Mo1 0.000 0.000 0.500 x3
Ru1 0.500 0.500 0.500 x1
C1 0.000 0.000 0.000 x1

Output
D(E_F): 1.022 states/eV/atom
Energy: -10.068 eV/atom
Energy above the lowest structure with this stoichiometry: 0.000 eV per atom
ρ: 9.5 g/cm³